# Ba2SrSb3Pd4

An optimized crystal structure of Ba2SrSb3Pd4 (GGA-PBE, Alexandria).

Cell: 4.823 4.823 11.320 Å, 90.00 90.00 90.00°
Element x y z (fractional)
1 Ba 0.000 0.500 0.227
2 Ba 0.500 0.000 0.773
3 Sr 0.000 0.000 0.500
4 Sb 0.000 0.500 0.884
5 Sb 0.500 0.000 0.116
6 Sb 0.500 0.500 0.500
7 Pd 0.000 0.000 0.000
8 Pd 0.000 0.500 0.648
9 Pd 0.500 0.000 0.352
10 Pd 0.500 0.500 0.000

Raw total energy: -4.67 eV/atom
Uncorrected formation energy: -0.8062 eV/atom
DOS(E_F): 0.394 states/eV per atom

# BeZnCdIr

An optimized crystal structure of BeZnCdIr (GGA-PBE, Alexandria).

Cell: 3.140 4.078 8.764 Å, 90.00 90.00 90.00°
Element x y z (fractional)
1 Be 0.000 0.000 0.000
2 Be 0.500 0.500 0.500
3 Zn 0.000 0.500 0.279
4 Zn 0.500 0.000 0.779
5 Cd 0.000 0.500 0.743
6 Cd 0.500 0.000 0.243
7 Ir 0.000 0.000 0.515
8 Ir 0.500 0.500 0.015

Raw total energy: -3.68 eV/atom
DOS(E_F): 0.232 states/eV per atom
Distance to the lowest polymorph of the same formula: 0.80 eV/f.u.

# CaMgRu2Se

An optimized crystal structure of CaMgRu2Se (GGA-PBE, Alexandria).

Cell: 4.746 4.746 5.470 Å, 90.00 90.00 90.00°
Element x y z (fractional)
1 Ca 0.000 0.000 0.000
2 Mg 0.000 0.000 0.500
3 Ru 0.000 0.500 0.000
4 Ru 0.500 0.000 0.000
5 Se 0.500 0.500 0.500

Raw total energy: -3.42 eV/atom
Uncorrected formation energy: 1.7061 eV/atom
DOS(E_F): 1.030 states/eV per atom

# AcSm2Al4

An optimized crystal structure of AcSm2Al4 (GGA-PBE, Alexandria).

Cell: 4.381 4.576 19.205 Å, 90.00 90.00 90.00°
Element x y z (fractional)
1 Ac 0.000 0.000 0.000
2 Ac 0.500 0.500 0.500
3 Sm 0.000 0.500 0.314
4 Sm 0.000 0.500 0.686
5 Sm 0.500 0.000 0.186
6 Sm 0.500 0.000 0.814
7 Al 0.000 0.000 0.431
8 Al 0.000 0.000 0.569
9 Al 0.000 0.500 0.145
10 Al 0.000 0.500 0.855
11 Al 0.500 0.000 0.355
12 Al 0.500 0.000 0.645
13 Al 0.500 0.500 0.069
14 Al 0.500 0.500 0.931

Raw total energy: -4.44 eV/atom
DOS(E_F): 0.902 states/eV per atom

> The lowest raw total energy belongs to which entry?

Ba2SrSb3Pd4